# TbYSn2Ir PBE relaxed
# **Density**: 9258 kg/m³
# **Energy**: -127.771 eV/cell
# **M_tot**: 0.00 μB/f.u.
data_TbYSn2Ir
_symmetry_space_group_name_H-M 'C 1 2/m 1'
_symmetry_Int_Tables_number 12
_cell_length_a 10.972
_cell_length_b 4.500
_cell_length_c 10.948
_cell_angle_alpha 90.00
_cell_angle_beta 115.94
_cell_angle_gamma 90.00
loop_
_symmetry_equiv_pos_as_xyz
'x,y,z'
'-x,-y,-z'
'-x,y,-z'
'x,-y,z'
'x+1/2,y+1/2,z'
'-x+1/2,-y+1/2,-z'
'-x+1/2,y+1/2,-z'
'x+1/2,-y+1/2,z'
loop_
_atom_site_label
_atom_site_type_symbol
_atom_site_fract_x
_atom_site_fract_y
_atom_site_fract_z
_atom_site_occupancy
Tb1 Tb 0.187 0.000 0.128 1
Y1 Y 0.001 0.000 0.672 1
Sn1 Sn 0.030 0.500 0.883 1
Sn2 Sn 0.155 0.500 0.548 1
Ir1 Ir 0.224 0.500 0.325 1